(1)
The following is a DFT calculation (PBE-GGA) of a relaxed structure of LuMgTlPt.

Unit cell a=4.8445 b=4.8445 c=4.8445 alpha=60.00 beta=60.00 gamma=60.00
With the nearest neighbours (Å) after each atom.
Positions (direct):
Pt: 0.2500 0.2500 0.2500  4 Lu 2.97, 4 Tl 2.97
Tl: 0.0000 0.0000 0.0000  4 Mg 2.97, 4 Pt 2.97
Mg: 0.7500 0.7500 0.7500  4 Tl 2.97, 4 Lu 2.97
Lu: 0.5000 0.5000 0.5000  4 Pt 2.97, 4 Mg 2.97

=====

(2)
The following is a DFT calculation (PBE-GGA) of a relaxed structure of LuMgTlPt.

Unit cell a=4.8927 b=4.8927 c=4.8927 alpha=60.00 beta=60.00 gamma=60.00
With the nearest neighbours (Å) after each atom.
Positions (direct):
Pt: 0.5000 0.5000 0.5000  4 Mg 3.00, 4 Lu 3.00
Mg: 0.7500 0.7500 0.7500  4 Tl 3.00, 4 Pt 3.00
Tl: 0.0000 0.0000 0.0000  4 Mg 3.00, 4 Lu 3.00
Lu: 0.2500 0.2500 0.2500  4 Pt 3.00, 4 Tl 3.00

=====

Number 1: size of the total moment 0.00 μB per formula unit, polymorph energy (0 for the lowest one) 0.137 eV/atom. Number 2: size of the total moment 0.00 μB per formula unit, polymorph energy (0 for the lowest one) 0.000 eV/atom.